(1)
! BaLi2Ac2Bi2, relaxed, DFT PBE; values from VASP
! magnetization = 1.20 μB per cell
! E = -25.44 eV per formula unit
! D(E_F) = 0.52 states/eV per atom
! volume = 36.05 A^3/atom
&SYSTEM
  ibrav = 0, nat = 7, ntyp = 4
/
ATOMIC_SPECIES
Ba 137.33 Ba.upf
Li 6.94 Li.upf
Ac 227.00 Ac.upf
Bi 208.98 Bi.upf
CELL_PARAMETERS angstrom
2.375 1.371 12.911
-2.375 1.371 12.911
0.000 -2.743 12.911
ATOMIC_POSITIONS angstrom
Ba 0.000 0.000 0.000
Li 0.000 0.000 15.500
Li 0.000 0.000 23.233
Ac 0.000 0.000 4.839
Ac 0.000 0.000 33.895
Bi 0.000 0.000 10.426
Bi 0.000 0.000 28.308

---

(2)
! BaAcMgBi, relaxed, DFT PBE; values from VASP
! magnetization = 0.01 μB per cell
! E = -12.96 eV per formula unit
! D(E_F) = 1.18 states/eV per atom
! volume = 37.55 A^3/atom
&SYSTEM
  ibrav = 0, nat = 16, ntyp = 4
/
ATOMIC_SPECIES
Ba 137.33 Ba.upf
Ac 227.00 Ac.upf
Mg 24.30 Mg.upf
Bi 208.98 Bi.upf
CELL_PARAMETERS angstrom
8.438 0.000 0.000
0.000 8.438 0.000
0.000 0.000 8.438
ATOMIC_POSITIONS angstrom
Ba 0.000 0.000 0.000
Ba 0.000 4.219 4.219
Ba 4.219 0.000 4.219
Ba 4.219 4.219 0.000
Ac 0.000 0.000 4.219
Ac 0.000 4.219 0.000
Ac 4.219 0.000 0.000
Ac 4.219 4.219 4.219
Mg 2.110 2.110 2.110
Mg 2.110 6.329 6.329
Mg 6.329 2.110 6.329
Mg 6.329 6.329 2.110
Bi 2.110 2.110 6.329
Bi 2.110 6.329 2.110
Bi 6.329 2.110 2.110
Bi 6.329 6.329 6.329

---

(3)
! Ba2Ac4Bi3N2, relaxed, DFT PBE; values from VASP
! magnetization = 0.00 μB per cell
! uncorrected formation energy = -10.52 eV per formula unit
! D(E_F) = 0.37 states/eV per atom
! volume = 35.38 A^3/atom
&SYSTEM
  ibrav = 0, nat = 11, ntyp = 4
/
ATOMIC_SPECIES
Ba 137.33 Ba.upf
Ac 227.00 Ac.upf
Bi 208.98 Bi.upf
N 14.01 N.upf
CELL_PARAMETERS angstrom
-2.618 2.618 14.192
2.618 -2.618 14.192
2.618 2.618 -14.192
ATOMIC_POSITIONS angstrom
Ba 0.000 0.000 5.531
Ba 0.000 0.000 22.853
Ac 2.618 0.000 2.377
Ac 2.618 0.000 11.816
Ac 0.000 2.618 2.377
Ac 0.000 2.618 11.816
Bi 0.000 0.000 9.306
Bi 0.000 0.000 14.192
Bi 0.000 0.000 19.079
N 0.000 0.000 2.773
N 0.000 0.000 25.612

---

(4)
! BaNaAcBi, relaxed, DFT PBE; values from VASP
! magnetization = 0.00 μB per cell
! E = -12.62 eV per formula unit
! D(E_F) = 0.95 states/eV per atom
! volume = 38.67 A^3/atom
&SYSTEM
  ibrav = 0, nat = 16, ntyp = 4
/
ATOMIC_SPECIES
Ba 137.33 Ba.upf
Na 22.99 Na.upf
Ac 227.00 Ac.upf
Bi 208.98 Bi.upf
CELL_PARAMETERS angstrom
8.521 0.000 0.000
0.000 8.521 0.000
0.000 0.000 8.521
ATOMIC_POSITIONS angstrom
Ba 0.000 0.000 0.000
Ba 0.000 4.261 4.261
Ba 4.261 0.000 4.261
Ba 4.261 4.261 0.000
Na 2.130 2.130 2.130
Na 2.130 6.391 6.391
Na 6.391 2.130 6.391
Na 6.391 6.391 2.130
Ac 0.000 0.000 4.261
Ac 0.000 4.261 0.000
Ac 4.261 0.000 0.000
Ac 4.261 4.261 4.261
Bi 2.130 2.130 6.391
Bi 2.130 6.391 2.130
Bi 6.391 2.130 2.130
Bi 6.391 6.391 6.391

---

(5)
! BaAc2NdBi4, relaxed, DFT PBE; values from VASP
! magnetization = 0.00 μB per cell
! E = -37.52 eV per formula unit
! D(E_F) = 0.63 states/eV per atom
! volume = 40.55 A^3/atom
&SYSTEM
  ibrav = 0, nat = 8, ntyp = 4
/
ATOMIC_SPECIES
Ba 137.33 Ba.upf
Ac 227.00 Ac.upf
Nd 144.24 Nd.upf
Bi 208.98 Bi.upf
CELL_PARAMETERS angstrom
8.375 0.000 0.000
0.000 4.857 0.000
-2.807 0.000 7.975
ATOMIC_POSITIONS angstrom
Ba 0.000 0.000 0.000
Ac 2.784 0.000 3.988
Ac 4.188 2.428 0.000
Nd -1.404 2.428 3.988
Bi -0.034 0.000 5.877
Bi 1.369 2.428 2.099
Bi 4.199 2.428 5.876
Bi 5.602 0.000 2.098

---

(6)
! BaAcBiO4, relaxed, DFT PBE; values from VASP
! magnetization = 0.00 μB per cell
! uncorrected formation energy = -16.47 eV per formula unit
! D(E_F) = 0.00 states/eV per atom
! volume = 21.31 A^3/atom
&SYSTEM
  ibrav = 0, nat = 14, ntyp = 4
/
ATOMIC_SPECIES
Ba 137.33 Ba.upf
Ac 227.00 Ac.upf
Bi 208.98 Bi.upf
O 16.00 O.upf
CELL_PARAMETERS angstrom
-3.682 3.859 5.250
3.682 -3.859 5.250
3.682 3.859 -5.250
ATOMIC_POSITIONS angstrom
Ba 0.000 1.929 1.299
Ba 3.682 1.929 3.950
Ac 3.682 0.000 0.000
Ac 0.000 0.000 5.250
Bi 1.841 1.929 -2.625
Bi 1.841 -1.929 2.625
O 3.682 -0.287 2.511
O 3.682 3.571 -2.511
O 2.073 1.929 -0.202
O 5.291 1.929 -0.202
O -1.609 1.929 5.451
O 1.609 1.929 5.451
O 0.000 0.287 7.761
O 0.000 4.146 2.739

---

(7)
! BaAc2BiO6, relaxed, DFT PBE; values from VASP
! magnetization = 0.98 μB per cell
! uncorrected formation energy = -23.28 eV per formula unit
! D(E_F) = 0.13 states/eV per atom
! volume = 20.68 A^3/atom
&SYSTEM
  ibrav = 0, nat = 10, ntyp = 4
/
ATOMIC_SPECIES
Ba 137.33 Ba.upf
Ac 227.00 Ac.upf
Bi 208.98 Bi.upf
O 16.00 O.upf
CELL_PARAMETERS angstrom
5.785 0.000 0.000
0.000 5.785 0.000
0.000 0.000 6.180
ATOMIC_POSITIONS angstrom
Ba 0.000 0.000 0.000
Ac 0.000 2.892 2.805
Ac 2.892 0.000 2.805
Bi 2.892 2.892 0.370
O 0.000 0.000 3.625
O 1.522 1.522 1.403
O 1.522 4.263 1.403
O 2.892 2.892 4.232
O 4.263 1.522 1.403
O 4.263 4.263 1.403

---

(8)
! Ba4AcBi3O12, relaxed, DFT PBE; values from VASP
! magnetization = 0.00 μB per cell
! uncorrected formation energy = -40.01 eV per formula unit
! D(E_F) = 0.26 states/eV per atom
! volume = 18.08 A^3/atom
&SYSTEM
  ibrav = 0, nat = 20, ntyp = 4
/
ATOMIC_SPECIES
Ba 137.33 Ba.upf
Ac 227.00 Ac.upf
Bi 208.98 Bi.upf
O 16.00 O.upf
CELL_PARAMETERS angstrom
-4.488 4.488 4.488
4.488 -4.488 4.488
4.488 4.488 -4.488
ATOMIC_POSITIONS angstrom
Ba 2.244 2.244 -2.244
Ba 2.244 -2.244 2.244
Ba -2.244 2.244 2.244
Ba 2.244 2.244 2.244
Ac 0.000 0.000 0.000
Bi 4.488 0.000 0.000
Bi 0.000 4.488 0.000
Bi 0.000 0.000 4.488
O 2.348 0.000 0.000
O 6.628 0.000 0.000
O 4.488 2.244 0.000
O 4.488 0.000 2.244
O 0.000 2.348 0.000
O 0.000 0.000 2.348
O 2.244 4.488 0.000
O 2.244 0.000 4.488
O 0.000 6.628 0.000
O 0.000 0.000 6.628
O 0.000 4.488 2.244
O 0.000 2.244 4.488

---

(9)
! BaAcBi2O8, relaxed, DFT PBE; values from VASP
! magnetization = 1.13 μB per cell
! uncorrected formation energy = -19.01 eV per formula unit
! D(E_F) = 0.80 states/eV per atom
! volume = 17.24 A^3/atom
&SYSTEM
  ibrav = 0, nat = 12, ntyp = 4
/
ATOMIC_SPECIES
Ba 137.33 Ba.upf
Ac 227.00 Ac.upf
Bi 208.98 Bi.upf
O 16.00 O.upf
CELL_PARAMETERS angstrom
-2.916 2.916 6.083
2.916 -2.916 6.083
2.916 2.916 -6.083
ATOMIC_POSITIONS angstrom
Ba 0.000 0.000 0.000
Ac 2.916 0.000 3.041
Bi 0.000 0.000 6.083
Bi 0.000 2.916 3.041
O 1.568 1.133 -1.978
O 1.404 -0.981 4.935
O 1.935 1.511 1.148
O 1.783 -1.348 8.061
O 1.511 3.896 -1.148
O 1.348 1.783 4.105
O 0.981 1.404 7.230
O 1.133 4.263 1.978

---

(10)
! BaAcBiPb, relaxed, DFT PBE; values from VASP
! magnetization = 0.00 μB per cell
! E = -15.86 eV per formula unit
! D(E_F) = 1.11 states/eV per atom
! volume = 38.35 A^3/atom
&SYSTEM
  ibrav = 0, nat = 16, ntyp = 4
/
ATOMIC_SPECIES
Ba 137.33 Ba.upf
Ac 227.00 Ac.upf
Bi 208.98 Bi.upf
Pb 207.20 Pb.upf
CELL_PARAMETERS angstrom
8.498 0.000 0.000
0.000 8.498 0.000
0.000 0.000 8.498
ATOMIC_POSITIONS angstrom
Ba 0.000 0.000 0.000
Ba 0.000 4.249 4.249
Ba 4.249 0.000 4.249
Ba 4.249 4.249 0.000
Ac 0.000 0.000 4.249
Ac 0.000 4.249 0.000
Ac 4.249 0.000 0.000
Ac 4.249 4.249 4.249
Bi 2.124 2.124 2.124
Bi 2.124 6.373 6.373
Bi 6.373 2.124 6.373
Bi 6.373 6.373 2.124
Pb 2.124 2.124 6.373
Pb 2.124 6.373 2.124
Pb 6.373 2.124 2.124
Pb 6.373 6.373 6.373

---

(11)
! Ba2AcBi3Pd4, relaxed, DFT PBE; values from VASP
! magnetization = 0.00 μB per cell
! E = -47.25 eV per formula unit
! D(E_F) = 0.56 states/eV per atom
! volume = 28.85 A^3/atom
&SYSTEM
  ibrav = 0, nat = 10, ntyp = 4
/
ATOMIC_SPECIES
Ba 137.33 Ba.upf
Ac 227.00 Ac.upf
Bi 208.98 Bi.upf
Pd 106.42 Pd.upf
CELL_PARAMETERS angstrom
4.959 0.000 0.000
0.000 4.959 0.000
0.000 0.000 11.734
ATOMIC_POSITIONS angstrom
Ba 0.000 2.479 2.541
Ba 2.479 0.000 9.193
Ac 0.000 0.000 5.867
Bi 0.000 2.479 10.358
Bi 2.479 0.000 1.376
Bi 2.479 2.479 5.867
Pd 0.000 0.000 0.000
Pd 0.000 2.479 7.576
Pd 2.479 0.000 4.158
Pd 2.479 2.479 0.000

---

(12)
! BaAcBiPd, relaxed, DFT PBE; values from VASP
! magnetization = 0.00 μB per cell
! E = -17.75 eV per formula unit
! D(E_F) = 0.13 states/eV per atom
! volume = 33.77 A^3/atom
&SYSTEM
  ibrav = 0, nat = 16, ntyp = 4
/
ATOMIC_SPECIES
Ba 137.33 Ba.upf
Ac 227.00 Ac.upf
Bi 208.98 Bi.upf
Pd 106.42 Pd.upf
CELL_PARAMETERS angstrom
8.145 0.000 0.000
0.000 8.145 0.000
0.000 0.000 8.145
ATOMIC_POSITIONS angstrom
Ba 0.000 0.000 0.000
Ba 0.000 4.073 4.073
Ba 4.073 0.000 4.073
Ba 4.073 4.073 0.000
Ac 0.000 0.000 4.073
Ac 0.000 4.073 0.000
Ac 4.073 0.000 0.000
Ac 4.073 4.073 4.073
Bi 2.036 2.036 2.036
Bi 2.036 6.109 6.109
Bi 6.109 2.036 6.109
Bi 6.109 6.109 2.036
Pd 2.036 2.036 6.109
Pd 2.036 6.109 2.036
Pd 6.109 2.036 2.036
Pd 6.109 6.109 6.109